Density functional theory data (PBE-GGA) for a relaxed LiSmCd2Au4 crystal. Values from VASP.

Cell and atoms, written as Quantum ESPRESSO input:
```
&SYSTEM
  ibrav = 0, nat = 8, ntyp = 4
/
ATOMIC_SPECIES
Li 6.94 Li.upf
Sm 150.36 Sm.upf
Cd 112.41 Cd.upf
Au 196.97 Au.upf
CELL_PARAMETERS angstrom
2.3959 1.3833 8.1531
-2.3959 1.3833 8.1531
0.0000 -2.7665 8.1531
ATOMIC_POSITIONS angstrom
Li 0.0000 0.0000 0.0000
Sm 0.0000 0.0000 12.2297
Cd 0.0000 0.0000 6.2080
Cd 0.0000 0.0000 18.2514
Au 0.0000 0.0000 2.7075
Au 0.0000 0.0000 9.1016
Au 0.0000 0.0000 15.3578
Au 0.0000 0.0000 21.7519
```

Results
Raw total energy in eV/cell: -25.58
Theoretical density in g/cm³: 11.98

=====

Density functional theory data (PBE-GGA) for a relaxed Pr12Ho7Pu crystal. Values from VASP.

Cell and atoms, written as Quantum ESPRESSO input:
```
&SYSTEM
  ibrav = 0, nat = 20, ntyp = 3
/
ATOMIC_SPECIES
Pr 140.91 Pr.upf
Ho 164.93 Ho.upf
Pu 244.00 Pu.upf
CELL_PARAMETERS angstrom
9.8274 5.6738 2.0848
-9.8274 5.6738 2.0848
0.0000 -11.3477 2.0848
ATOMIC_POSITIONS angstrom
Pr -4.0508 -4.3314 2.0848
Pr -5.7765 -1.3424 2.0848
Pr 0.0000 -4.0052 1.1632
Pr -3.4686 2.0026 1.1632
Pr 4.0508 -4.3314 2.0848
Pr -1.7257 5.6738 2.0848
Pr 3.4686 2.0026 1.1632
Pr -3.4686 -2.0026 5.0911
Pr 5.7765 -1.3425 2.0848
Pr 1.7257 5.6738 2.0848
Pr 3.4686 -2.0026 5.0911
Pr 0.0000 4.0052 5.0911
Ho 0.0000 0.0000 0.0000
Ho -2.3574 -1.3610 1.9152
Ho 2.3574 -1.3610 1.9152
Ho 0.0000 2.7221 1.9152
Ho 0.0000 -2.7221 4.3391
Ho -2.3574 1.3610 4.3391
Ho 2.3574 1.3610 4.3391
Pu 0.0000 0.0000 3.1272
```

Results
Raw total energy in eV/cell: -99.40
Theoretical density in g/cm³: 7.36

=====

Density functional theory data (PBE-GGA) for a relaxed Hf4TiOs crystal. Values from VASP.

Cell and atoms, written as Quantum ESPRESSO input:
```
&SYSTEM
  ibrav = 0, nat = 6, ntyp = 3
/
ATOMIC_SPECIES
Hf 178.49 Hf.upf
Ti 47.87 Ti.upf
Os 190.23 Os.upf
CELL_PARAMETERS angstrom
4.4855 0.0000 0.0000
0.0000 4.4855 0.0000
0.0000 0.0000 6.7489
ATOMIC_POSITIONS angstrom
Hf 0.0000 2.2427 1.5943
Hf 0.0000 2.2427 5.1546
Hf 2.2427 0.0000 1.5943
Hf 2.2427 0.0000 5.1546
Ti 0.0000 0.0000 3.3744
Os 2.2427 2.2427 0.0000
```

Results
Raw total energy in eV/cell: -57.38
Energy above the lowest structure with this stoichiometry in meV/atom: 424
Theoretical density in g/cm³: 11.64

=====

Density functional theory data (PBE-GGA) for a relaxed CaY2Tc crystal. Values from VASP.

Cell and atoms, written as Quantum ESPRESSO input:
```
&SYSTEM
  ibrav = 0, nat = 8, ntyp = 3
/
ATOMIC_SPECIES
Ca 40.08 Ca.upf
Y 88.91 Y.upf
Tc 98.00 Tc.upf
CELL_PARAMETERS angstrom
3.6905 0.0000 0.0000
0.0000 4.2954 0.0000
0.0000 0.0000 15.5947
ATOMIC_POSITIONS angstrom
Ca 0.0000 0.0000 0.0000
Ca 0.0000 2.1477 7.7973
Y 0.0000 0.0000 4.8528
Y 0.0000 2.1477 12.6502
Y 1.8452 0.0000 10.4961
Y 1.8452 2.1477 2.6988
Tc 1.8452 0.0000 13.1301
Tc 1.8452 2.1477 5.3327
```

Results
Raw total energy in eV/cell: -48.58
Energy above the lowest structure with this stoichiometry in meV/atom: 239
Theoretical density in g/cm³: 4.24